{"formula": "LaBe4Tc", "functional": "PBE", "state": "relaxed", "dft_energy_ev_per_cell": -29.1, "delta_e_f_ev_per_atom": 0.18, "n_ef_per_ev_cell": 5.17, "cell": [[-4.193, -2.370, 0.210], [-3.711, 1.877, 2.440], [-3.843, 1.684, -2.376]], "species": ["Be", "La", "Tc", "Be", "Be", "Be"], "frac_coords": [[0.370, 0.370, 0.889], [0.750, 0.750, 0.750], [0.000, 0.000, 0.000], [0.370, 0.370, 0.370], [0.370, 0.889, 0.370], [0.889, 0.370, 0.370]]}

=====

{"formula": "Pr2Dy3Au2", "functional": "PBE", "state": "relaxed", "dft_energy_ev_per_cell": -33.2, "delta_e_f_ev_per_atom": -0.47, "n_ef_per_ev_cell": 6.59, "polymorph_energy_ev_per_atom": 0.024, "cell": [[-0.186, -1.867, 3.287], [6.433, 4.103, 4.891], [-2.734, 4.175, 4.397]], "species": ["Au", "Dy", "Dy", "Pr", "Au", "Dy", "Pr"], "frac_coords": [[0.669, 0.795, 0.869], [0.655, 0.185, 0.505], [0.345, 0.815, 0.495], [0.112, 0.561, 0.218], [0.331, 0.205, 0.131], [0.000, 0.000, 0.000], [0.888, 0.439, 0.782]]}

=====

{"formula": "PaNi3H", "functional": "PBE", "state": "relaxed", "dft_energy_ev_per_cell": -30.3, "n_ef_per_ev_cell": 9.57, "cell": [[3.957, 0.000, 0.000], [0.000, 3.957, 0.000], [0.000, 0.000, 3.957]], "species": ["H", "Ni", "Pa", "Ni", "Ni"], "frac_coords": [[0.000, 0.000, 0.000], [0.500, 0.000, 0.000], [0.500, 0.500, 0.500], [0.000, 0.500, 0.000], [0.000, 0.000, 0.500]]}

=====

{"formula": "CaTb4ErS8", "functional": "PBE", "state": "relaxed", "e_form_raw_kj_per_mol_fu": -2705, "dft_energy_ev_per_cell": -86.1, "n_ef_per_ev_cell": 3.39, "cell": [[8.111, 0.000, 0.000], [4.056, 7.024, 0.000], [4.056, 2.341, 6.600]], "species": ["Tb", "Tb", "Ca", "S", "Tb", "S", "Tb", "Er", "S", "S", "S", "S", "S", "S"], "frac_coords": [[0.625, 0.625, 0.126], [0.494, 0.002, 0.502], [0.375, 0.375, 0.875], [0.760, 0.760, 0.255], [0.002, 0.494, 0.502], [0.225, 0.760, 0.255], [0.002, 0.002, 0.502], [0.002, 0.002, 0.994], [0.238, 0.238, 0.743], [0.760, 0.225, 0.255], [0.238, 0.781, 0.743], [0.781, 0.238, 0.743], [0.758, 0.758, 0.727], [0.240, 0.240, 0.280]]}

=====

{"formula": "La5Pr2", "functional": "PBE", "state": "relaxed", "dft_energy_ev_per_cell": -33.6, "delta_e_f_ev_per_atom": 0.09, "n_ef_per_ev_cell": 12.03, "polymorph_energy_ev_per_atom": 0.005, "cell": [[5.916, 0.000, 0.000], [2.958, 5.123, 0.000], [2.958, 1.708, 8.480]], "species": ["Pr", "La", "La", "La", "Pr", "La", "La"], "frac_coords": [[0.363, 0.363, 0.910], [0.500, 0.500, 0.500], [0.767, 0.767, 0.698], [0.233, 0.233, 0.302], [0.637, 0.637, 0.090], [0.084, 0.084, 0.749], [0.916, 0.916, 0.251]]}

=====

{"formula": "NaHoSn2S4", "functional": "PBE", "state": "relaxed", "e_form_raw_kj_per_mol_fu": -813, "dft_energy_ev_per_cell": -38.8, "cell": [[-1.610, -1.978, 3.144], [1.930, -6.195, -2.908], [6.404, -1.594, 2.276]], "species": ["Ho", "S", "S", "Sn", "S", "Sn", "Na", "S"], "frac_coords": [[0.000, 0.500, 0.500], [0.000, 0.741, 0.738], [0.500, 0.269, 0.733], [0.500, 0.000, 0.500], [0.500, 0.731, 0.267], [0.000, 0.000, 0.000], [0.500, 0.500, 0.000], [0.000, 0.259, 0.262]]}

=====

{"formula": "Al2CuPt", "functional": "PBE", "state": "relaxed", "dft_energy_ev_per_cell": -20.0, "delta_e_f_ev_per_atom": -0.59, "n_ef_per_ev_cell": 1.10, "cell": [[-0.012, -2.679, -1.584], [2.890, -0.722, 1.201], [-2.473, -2.588, 4.395]], "species": ["Al", "Al", "Cu", "Pt"], "frac_coords": [[0.000, 0.000, 0.007], [0.000, 0.000, 0.493], [0.500, 0.500, 0.250], [0.500, 0.500, 0.750]]}

=====

{"formula": "La3BiRhCl", "functional": "PBE", "state": "relaxed", "e_form_raw_kj_per_mol_fu": -612, "dft_energy_ev_per_cell": -68.4, "n_ef_per_ev_cell": 10.44, "cell": [[-0.758, -3.640, 2.566], [-0.581, -4.587, -6.678], [9.827, 0.178, 3.152]], "species": ["Bi", "Cl", "La", "La", "La", "Rh", "Cl", "La", "La", "Rh", "La", "Bi"], "frac_coords": [[0.250, 0.266, 0.288], [0.750, 0.887, 0.390], [0.250, 0.713, 0.466], [0.750, 0.471, 0.145], [0.250, 0.529, 0.855], [0.250, 0.713, 0.128], [0.250, 0.113, 0.610], [0.750, 0.287, 0.534], [0.750, 0.924, 0.119], [0.750, 0.287, 0.872], [0.250, 0.076, 0.881], [0.750, 0.734, 0.712]]}

=====

{"formula": "La2Y12Th", "functional": "PBE", "state": "relaxed", "dft_energy_ev_per_cell": -184.5, "delta_e_f_ev_per_atom": 0.17, "n_ef_per_ev_cell": 49.82, "cell": [[0.443, 3.577, -5.747], [4.178, -2.351, -4.800], [-18.712, -13.348, -9.749]], "species": ["Y", "Y", "Y", "Th", "Y", "Y", "Y", "La", "Y", "Y", "La", "La", "Y", "La", "Y", "Y", "Y", "Y", "Y", "Y", "Y", "Th", "Y", "Y", "Y", "Y", "Y", "Y", "Y", "Y"], "frac_coords": [[0.749, 0.751, 0.585], [0.500, 0.500, 0.803], [0.750, 0.750, 0.123], [0.000, 0.500, 0.000], [0.500, 0.500, 0.327], [0.250, 0.750, 0.925], [0.251, 0.249, 0.585], [0.000, 0.500, 0.732], [0.000, 0.000, 0.197], [0.250, 0.250, 0.123], [0.500, 0.000, 0.268], [0.500, 0.000, 0.733], [0.250, 0.750, 0.075], [0.000, 0.500, 0.267], [0.500, 0.500, 0.197], [0.000, 0.000, 0.673], [0.750, 0.250, 0.925], [0.249, 0.251, 0.415], [0.751, 0.251, 0.562], [0.750, 0.250, 0.075], [0.750, 0.750, 0.877], [0.500, 0.000, 0.000], [0.249, 0.749, 0.562], [0.000, 0.000, 0.803], [0.749, 0.249, 0.438], [0.500, 0.500, 0.673], [0.751, 0.749, 0.415], [0.251, 0.751, 0.438], [0.000, 0.000, 0.327], [0.250, 0.250, 0.877]]}

=====

{"formula": "Nd4Sm11Dy9", "functional": "PBE", "state": "relaxed", "dft_energy_ev_per_cell": -110.9, "delta_e_f_ev_per_atom": 0.06, "n_ef_per_ev_cell": 30.68, "cell": [[3.713, 0.000, 0.000], [0.000, 14.092, -5.976], [0.000, 0.043, 15.307]], "species": ["Dy", "Dy", "Dy", "Sm", "Dy", "Dy", "Sm", "Sm", "Nd", "Sm", "Nd", "Sm", "Sm", "Sm", "Sm", "Nd", "Sm", "Dy", "Dy", "Sm", "Dy", "Sm", "Dy", "Nd"], "frac_coords": [[0.500, 0.500, 0.500], [0.500, 0.212, 0.066], [0.500, 0.635, 0.163], [0.000, 0.710, 0.710], [0.500, 0.066, 0.212], [0.500, 0.934, 0.788], [0.000, 0.593, 0.955], [0.000, 0.290, 0.290], [0.500, 0.756, 0.554], [0.000, 0.000, 0.000], [0.500, 0.554, 0.756], [0.000, 0.634, 0.366], [0.000, 0.366, 0.634], [0.000, 0.841, 0.159], [0.000, 0.045, 0.407], [0.500, 0.244, 0.446], [0.000, 0.159, 0.841], [0.500, 0.788, 0.934], [0.500, 0.163, 0.635], [0.000, 0.407, 0.045], [0.500, 0.365, 0.837], [0.000, 0.955, 0.593], [0.500, 0.837, 0.365], [0.500, 0.446, 0.244]]}

=====

{"formula": "K3UAl2O8", "functional": "PBE", "state": "relaxed", "e_form_raw_kj_per_mol_fu": -3304, "dft_energy_ev_per_cell": -96.0, "n_ef_per_ev_cell": 4.01, "cell": [[5.828, 0.000, 0.000], [-2.914, 5.047, 0.000], [0.000, 0.000, 7.822]], "species": ["O", "K", "K", "O", "O", "Al", "O", "K", "U", "O", "O", "O", "O", "Al"], "frac_coords": [[0.333, 0.667, 0.036], [0.000, 0.000, 0.000], [0.667, 0.333, 0.286], [0.663, 0.831, 0.344], [0.169, 0.337, 0.344], [0.333, 0.667, 0.258], [0.831, 0.169, 0.656], [0.333, 0.667, 0.714], [0.000, 0.000, 0.500], [0.337, 0.169, 0.656], [0.667, 0.333, 0.964], [0.831, 0.663, 0.656], [0.169, 0.831, 0.344], [0.667, 0.333, 0.742]]}

=====

{"formula": "Cd2IrSe", "functional": "PBE", "state": "relaxed", "e_form_raw_kj_per_mol_fu": -17, "dft_energy_ev_per_cell": -14.4, "n_ef_per_ev_cell": 1.65, "cell": [[-3.382, -4.258, 3.788], [-1.921, -6.059, 1.876], [2.684, -1.602, 3.560]], "species": ["Cd", "Se", "Ir", "Cd"], "frac_coords": [[0.989, 0.989, 0.012], [0.181, 0.181, 0.319], [0.517, 0.517, 0.483], [0.814, 0.814, 0.686]]}

=====

{"formula": "Hf6TcAu", "functional": "PBE", "state": "relaxed", "dft_energy_ev_per_cell": -74.8, "delta_e_f_ev_per_atom": -0.18, "n_ef_per_ev_cell": 7.80, "cell": [[7.526, 0.248, -0.014], [3.954, 6.870, 0.137], [3.698, 2.387, 3.242]], "species": ["Au", "Hf", "Hf", "Hf", "Hf", "Hf", "Tc", "Hf"], "frac_coords": [[0.500, 0.500, 0.500], [0.457, 0.754, 0.780], [0.246, 0.010, 0.201], [0.543, 0.246, 0.220], [0.009, 0.456, 0.288], [0.991, 0.544, 0.712], [0.000, 0.000, 0.000], [0.754, 0.990, 0.799]]}

=====

{"formula": "IrPtCl2", "functional": "PBE", "state": "relaxed", "e_form_raw_kj_per_mol_fu": 191, "dft_energy_ev_per_cell": -16.6, "n_ef_per_ev_cell": 5.23, "polymorph_energy_ev_per_atom": 0.481, "cell": [[6.514, -0.046, 0.065], [0.930, 6.448, -0.065], [-1.558, -5.718, 2.706]], "species": ["Pt", "Cl", "Cl", "Ir"], "frac_coords": [[0.268, 0.768, 0.500], [0.067, 0.067, 0.000], [0.680, 0.180, 0.500], [0.486, 0.486, 0.000]]}

=====

{"formula": "NaGaAs2", "functional": "PBE", "state": "relaxed", "dft_energy_ev_per_cell": -28.6, "delta_e_f_ev_per_atom": -0.17, "n_ef_per_ev_cell": 0.00, "cell": [[7.581, 0.000, 0.000], [0.000, 7.581, 0.000], [3.790, 3.790, 2.990]], "species": ["Na", "As", "As", "As", "Na", "Ga", "As", "Ga"], "frac_coords": [[0.500, 0.500, 0.000], [0.375, 0.327, 0.750], [0.673, 0.125, 0.250], [0.077, 0.625, 0.250], [0.250, 0.750, 0.500], [0.750, 0.250, 0.500], [0.875, 0.923, 0.750], [0.000, 0.000, 0.000]]}

=====

{"formula": "In3Fe", "functional": "PBE", "state": "relaxed", "dft_energy_ev_per_cell": -15.7, "delta_e_f_ev_per_atom": 0.23, "n_ef_per_ev_cell": 3.54, "cell": [[3.075, 0.000, 0.000], [0.000, 3.076, 0.000], [0.000, 0.000, 9.166]], "species": ["In", "Fe", "In", "In"], "frac_coords": [[0.000, 0.000, 0.500], [0.000, 0.000, 0.000], [0.500, 0.500, 0.199], [0.500, 0.500, 0.801]]}

=====

{"formula": "PmPaZnIr", "functional": "PBE", "state": "relaxed", "dft_energy_ev_per_cell": -25.6, "delta_e_f_ev_per_atom": -0.30, "n_ef_per_ev_cell": 7.01, "cell": [[-3.821, 2.832, -1.533], [-3.833, -2.083, -2.438], [-4.456, -0.399, 2.226]], "species": ["Ir", "Pa", "Zn", "Pm"], "frac_coords": [[0.250, 0.250, 0.250], [0.000, 0.000, 0.000], [0.750, 0.750, 0.750], [0.500, 0.500, 0.500]]}

=====

{"formula": "HoPu2Sb3", "functional": "PBE", "state": "relaxed", "e_form_raw_kj_per_mol_fu": -442, "dft_energy_ev_per_cell": -50.2, "n_ef_per_ev_cell": 25.80, "cell": [[-2.873, -3.332, -0.257], [4.291, -3.479, -2.873], [1.380, 1.154, 7.410]], "species": ["Ho", "Pu", "Sb", "Pu", "Sb", "Sb"], "frac_coords": [[0.000, 0.500, 0.000], [0.333, 0.833, 0.667], [0.000, 0.000, 0.000], [0.667, 0.167, 0.333], [0.334, 0.334, 0.668], [0.666, 0.666, 0.332]]}

=====

{"formula": "MgGa2IrO8", "functional": "PBE", "state": "relaxed", "e_form_raw_kj_per_mol_fu": -1481, "dft_energy_ev_per_cell": -71.5, "n_ef_per_ev_cell": 5.23, "cell": [[-1.810, 4.154, -1.100], [-2.919, -2.235, -2.865], [-4.003, -0.551, 4.509]], "species": ["O", "O", "Mg", "Ga", "Ga", "O", "O", "O", "O", "Ir", "O", "O"], "frac_coords": [[0.302, 0.301, 0.000], [0.698, 0.699, 0.000], [0.000, 0.000, 0.500], [0.500, 0.500, 0.739], [0.500, 0.500, 0.261], [0.806, 0.194, 0.775], [0.194, 0.806, 0.225], [0.305, 0.305, 0.500], [0.194, 0.806, 0.775], [0.000, 0.000, 0.000], [0.806, 0.194, 0.225], [0.695, 0.695, 0.500]]}

=====

{"formula": "HfPdAu", "functional": "PBE", "state": "relaxed", "dft_energy_ev_per_cell": -82.7, "delta_e_f_ev_per_atom": -0.75, "n_ef_per_ev_cell": 4.31, "polymorph_energy_ev_per_atom": 0.028, "cell": [[-4.903, 0.350, -0.614], [0.324, -6.226, -6.137], [-0.683, -3.466, 3.480]], "species": ["Pd", "Hf", "Pd", "Au", "Au", "Hf", "Hf", "Pd", "Au", "Au", "Hf", "Pd"], "frac_coords": [[0.000, 0.660, 0.500], [0.500, 0.000, 0.000], [0.500, 0.840, 0.500], [0.000, 0.166, 0.000], [0.500, 0.334, 0.000], [0.000, 0.500, 0.000], [0.000, 0.000, 0.500], [0.500, 0.160, 0.500], [0.500, 0.666, 0.000], [0.000, 0.834, 0.000], [0.500, 0.500, 0.500], [0.000, 0.340, 0.500]]}

=====

{"formula": "MoAuIN2", "functional": "PBE", "state": "relaxed", "e_form_raw_kj_per_mol_fu": 1014, "dft_energy_ev_per_cell": -21.8, "n_ef_per_ev_cell": 2.56, "polymorph_energy_ev_per_atom": 1.420, "cell": [[4.074, 0.000, 0.000], [0.000, 4.074, 0.000], [0.000, 0.000, 7.953]], "species": ["N", "I", "Au", "N", "Mo"], "frac_coords": [[0.000, 0.500, 0.000], [0.000, 0.000, 0.500], [0.000, 0.000, 0.000], [0.500, 0.000, 0.000], [0.500, 0.500, 0.500]]}

=====

{"formula": "TiCuNi", "functional": "PBE", "state": "relaxed", "dft_energy_ev_per_cell": -18.7, "delta_e_f_ev_per_atom": -0.31, "n_ef_per_ev_cell": 1.52, "polymorph_energy_ev_per_atom": 0.000, "cell": [[-1.357, -3.045, -3.097], [0.559, -4.472, 0.632], [-1.584, 3.649, 2.210]], "species": ["Ni", "Ti", "Cu"], "frac_coords": [[0.337, 0.337, 0.000], [0.994, 0.994, 0.000], [0.669, 0.669, 0.000]]}

=====

{"formula": "RbAu2Se6S2", "functional": "PBE", "state": "relaxed", "e_form_raw_kj_per_mol_fu": -156, "dft_energy_ev_per_cell": -38.3, "n_ef_per_ev_cell": 2.16, "cell": [[6.261, 1.703, 0.871], [4.807, 7.847, 0.615], [-0.365, -3.685, 7.507]], "species": ["Se", "Se", "Rb", "Au", "Se", "S", "Se", "Se", "Se", "Au", "S"], "frac_coords": [[0.297, 0.700, 0.909], [0.791, 0.205, 0.427], [0.500, 0.000, 0.500], [0.231, 0.758, 0.251], [0.246, 0.291, 0.968], [0.062, 0.278, 0.174], [0.754, 0.709, 0.032], [0.209, 0.795, 0.573], [0.703, 0.300, 0.091], [0.769, 0.242, 0.749], [0.938, 0.722, 0.826]]}